(1)
An optimized crystal structure of Na3Pr2TiSe6, computed with GGA-PBE.

The total energy is -4.98 eV/atom. The formation energy without anion corrections comes out at -1.457 eV/atom. Its space-group type is No. 12.

a b c (Å): 7.187 7.187 7.419
angles (deg): 99.34 99.34 119.89
Last column: magnetic moment on the atom in μB.
Element x y z (fractional)
Na 0.170 0.830 0.500  0.00
Na 0.830 0.170 0.500  0.00
Na 0.500 0.500 0.500  0.00
Pr 0.332 0.668 0.000  0.02
Pr 0.668 0.332 0.000  0.02
Ti 0.000 0.000 0.000  0.84
Se 0.922 0.616 0.769  -0.01
Se 0.774 0.774 0.224  -0.01
Se 0.078 0.384 0.231  -0.01
Se 0.616 0.922 0.769  -0.01
Se 0.226 0.226 0.776  -0.01
Se 0.384 0.078 0.231  -0.01

=====

(2)
An optimized crystal structure of Na2PrTmSe4, computed with GGA-PBE.

The total energy is -4.91 eV/atom. The formation energy without anion corrections comes out at -1.679 eV/atom. Its space-group type is No. 10.

a b c (Å): 4.207 7.290 7.430
angles (deg): 109.11 90.00 90.00
Element x y z (fractional)
Na 0.500 0.000 0.500
Na 0.000 0.500 0.500
Pr 0.500 0.500 0.000
Tm 0.000 0.000 0.000
Se 0.500 0.232 0.229
Se 0.500 0.768 0.771
Se 0.000 0.243 0.765
Se 0.000 0.757 0.235

=====

(3)
An optimized crystal structure of NaPr4Tm3Se8, computed with GGA-PBE.

The total energy is -5.61 eV/atom. The formation energy without anion corrections comes out at -1.749 eV/atom. Its space-group type is No. 166.

a b c (Å): 8.228 8.417 8.227
angles (deg): 119.26 120.01 90.00
Element x y z (fractional)
Na 0.000 0.500 0.000
Pr 0.500 0.000 0.000
Pr 0.500 0.000 0.500
Pr 0.000 0.000 0.000
Pr 0.000 0.000 0.500
Tm 0.500 0.500 0.000
Tm 0.500 0.500 0.500
Tm 0.000 0.500 0.500
Se 0.245 0.729 0.985
Se 0.245 0.729 0.489
Se 0.258 0.273 0.515
Se 0.740 0.729 0.985
Se 0.260 0.271 0.015
Se 0.742 0.727 0.485
Se 0.755 0.271 0.511
Se 0.755 0.271 0.015

=====

(4)
An optimized crystal structure of NaPr3Tm2Se6, computed with GGA-PBE.

The total energy is -5.54 eV/atom. The formation energy without anion corrections comes out at -1.749 eV/atom. Its space-group type is No. 12.

a b c (Å): 7.151 7.151 7.339
angles (deg): 99.34 99.34 120.08
Element x y z (fractional)
Na 0.000 0.000 0.000
Pr 0.161 0.839 0.500
Pr 0.839 0.161 0.500
Pr 0.500 0.500 0.500
Tm 0.334 0.666 0.000
Tm 0.666 0.334 0.000
Se 0.923 0.583 0.767
Se 0.738 0.738 0.226
Se 0.077 0.417 0.233
Se 0.583 0.923 0.767
Se 0.262 0.262 0.774
Se 0.417 0.077 0.233

=====

(5)
An optimized crystal structure of Na3PrTm2Se6, computed with GGA-PBE.

The total energy is -4.90 eV/atom. The formation energy without anion corrections comes out at -1.687 eV/atom. Its space-group type is No. 12.

a b c (Å): 7.225 7.225 7.416
angles (deg): 99.37 99.37 120.01
Element x y z (fractional)
Na 0.165 0.835 0.500
Na 0.835 0.165 0.500
Na 0.500 0.500 0.500
Pr 0.000 0.000 0.000
Tm 0.333 0.667 0.000
Tm 0.667 0.333 0.000
Se 0.923 0.577 0.770
Se 0.731 0.731 0.230
Se 0.077 0.423 0.230
Se 0.577 0.923 0.770
Se 0.269 0.269 0.770
Se 0.423 0.077 0.230

=====

(6)
An optimized crystal structure of NaPr2Tm3Se6, computed with GGA-PBE.

The total energy is -5.52 eV/atom. The formation energy without anion corrections comes out at -1.749 eV/atom. Its space-group type is No. 12.

a b c (Å): 4.084 8.381 9.320
angles (deg): 104.23 102.66 90.00
Element x y z (fractional)
Na 0.500 0.000 0.000
Pr 0.828 0.655 0.657
Pr 0.172 0.345 0.343
Tm 0.500 0.500 0.000
Tm 0.833 0.171 0.666
Tm 0.167 0.829 0.334
Se 0.331 0.930 0.661
Se 0.659 0.597 0.319
Se 0.669 0.070 0.339
Se 0.997 0.258 0.993
Se 0.003 0.742 0.007
Se 0.341 0.403 0.681

=====

(7)
An optimized crystal structure of Na4PrU3Se8, computed with GGA-PBE.

The total energy is -5.78 eV/atom. The formation energy without anion corrections comes out at -1.293 eV/atom. Its space-group type is No. 166.

a b c (Å): 8.361 8.561 8.361
angles (deg): 119.24 120.00 90.00
Last column: magnetic moment on the atom in μB.
Element x y z (fractional)
Na 0.500 0.000 0.000  0.00
Na 0.500 0.000 0.500  0.00
Na 0.000 0.000 0.000  0.00
Na 0.000 0.000 0.500  0.00
Pr 0.000 0.500 0.000  0.15
U 0.500 0.500 0.000  2.68
U 0.500 0.500 0.500  2.68
U 0.000 0.500 0.500  2.68
Se 0.250 0.737 0.988  -0.04
Se 0.249 0.737 0.499  -0.04
Se 0.256 0.267 0.511  -0.06
Se 0.738 0.737 0.988  -0.04
Se 0.262 0.263 0.012  -0.04
Se 0.744 0.733 0.489  -0.06
Se 0.751 0.263 0.501  -0.04
Se 0.750 0.263 0.012  -0.04

=====

(8)
An optimized crystal structure of Na2PrUSe6, computed with GGA-PBE.

The total energy is -5.05 eV/atom. The formation energy without anion corrections comes out at -1.085 eV/atom. Its space-group type is No. 14.

a b c (Å): 7.261 7.836 10.221
angles (deg): 90.00 89.45 90.00
Element x y z (fractional)
Na 0.032 0.911 0.253
Na 0.532 0.589 0.753
Na 0.968 0.089 0.747
Na 0.468 0.411 0.247
Pr 0.500 0.000 0.000
Pr 0.000 0.500 0.500
U 0.500 0.000 0.500
U 0.000 0.500 0.000
Se 0.293 0.688 0.076
Se 0.793 0.812 0.576
Se 0.707 0.312 0.924
Se 0.207 0.188 0.424
Se 0.326 0.712 0.418
Se 0.826 0.788 0.918
Se 0.674 0.288 0.582
Se 0.174 0.212 0.082
Se 0.851 0.548 0.236
Se 0.351 0.952 0.736
Se 0.149 0.452 0.764
Se 0.649 0.048 0.264

=====

(9)
An optimized crystal structure of Na3PrU3Se8, computed with GGA-PBE.

The total energy is -6.02 eV/atom. The formation energy without anion corrections comes out at -1.317 eV/atom. Its space-group type is No. 12.

a b c (Å): 8.375 8.376 8.534
angles (deg): 119.40 90.00 120.00
Last column: magnetic moment on the atom in μB.
Element x y z (fractional)
Na 0.000 0.000 0.000  0.00
Na 0.000 0.500 0.000  0.00
Na 0.500 0.500 0.000  0.00
Pr 0.000 0.000 0.500  0.08
U 0.500 0.000 0.500  2.52
U 0.500 0.500 0.500  2.52
U 0.000 0.500 0.500  2.52
Se 0.255 0.511 0.268  -0.05
Se 0.745 0.489 0.732  -0.05
Se 0.750 0.501 0.269  -0.05
Se 0.250 0.499 0.731  -0.05
Se 0.751 0.017 0.268  -0.05
Se 0.249 0.983 0.732  -0.05
Se 0.267 0.017 0.268  -0.05
Se 0.733 0.983 0.732  -0.05

=====

(10)
An optimized crystal structure of NaPr2USe5, computed with GGA-PBE.

The total energy is -5.78 eV/atom. The formation energy without anion corrections comes out at -1.379 eV/atom. Its space-group type is No. 71.

a b c (Å): 5.273 7.441 8.664
angles (deg): 115.43 107.72 90.00
Last column: magnetic moment on the atom in μB.
Element x y z (fractional)
Na 0.000 0.500 0.000  0.01
Pr 0.202 0.202 0.404  0.06
Pr 0.798 0.798 0.596  0.06
U 0.500 0.000 0.000  2.30
Se 0.649 0.906 0.298  -0.02
Se 0.351 0.094 0.702  -0.02
Se 0.351 0.609 0.702  -0.02
Se 0.649 0.391 0.298  -0.02
Se 0.000 0.000 0.000  -0.04

=====

(11)
An optimized crystal structure of Na4Pr3USe8, computed with GGA-PBE.

The total energy is -5.21 eV/atom. The formation energy without anion corrections comes out at -1.541 eV/atom. Its space-group type is No. 166.

a b c (Å): 8.561 8.587 8.561
angles (deg): 119.91 120.00 90.00
Last column: magnetic moment on the atom in μB.
Element x y z (fractional)
Na 0.500 0.000 0.000  0.00
Na 0.500 0.000 0.500  0.00
Na 0.000 0.000 0.000  0.00
Na 0.000 0.000 0.500  0.00
Pr 0.500 0.500 0.000  0.05
Pr 0.500 0.500 0.500  0.05
Pr 0.000 0.500 0.500  0.05
U 0.000 0.500 0.000  2.59
Se 0.241 0.736 0.994  -0.02
Se 0.241 0.736 0.483  -0.02
Se 0.253 0.260 0.507  0.00
Se 0.753 0.736 0.994  -0.02
Se 0.247 0.264 0.006  -0.02
Se 0.747 0.740 0.493  0.00
Se 0.759 0.264 0.517  -0.02
Se 0.759 0.264 0.006  -0.02

=====

(12)
An optimized crystal structure of Na4PrY3Se8, computed with GGA-PBE.

The total energy is -5.28 eV/atom. The formation energy without anion corrections comes out at -1.702 eV/atom. Its space-group type is No. 166.

a b c (Å): 8.384 8.526 8.384
angles (deg): 119.48 120.00 90.00
Element x y z (fractional)
Na 0.500 0.000 0.000
Na 0.500 0.000 0.500
Na 0.000 0.000 0.000
Na 0.000 0.000 0.500
Pr 0.000 0.500 0.000
Y 0.500 0.500 0.000
Y 0.500 0.500 0.500
Y 0.000 0.500 0.500
Se 0.249 0.733 0.984
Se 0.248 0.733 0.497
Se 0.257 0.271 0.514
Se 0.736 0.733 0.984
Se 0.264 0.267 0.016
Se 0.743 0.729 0.486
Se 0.752 0.267 0.503
Se 0.751 0.267 0.016